# RbCd2FeF8

A relaxed structure of RbCd2FeF8 (GGA+U, Alexandria).

abc: 5.105 5.163 7.344
angles: 89.63 89.76 88.76
Space group P-1 (No. 2)
Inequivalent atoms, fractional coordinates:
Rb 0.000 0.000 0.000 (multiplicity 1)
Cd 0.499 0.499 0.256 (multiplicity 2)
Fe 0.000 0.000 0.500 (multiplicity 1)
F 0.169 0.785 0.686 (multiplicity 2)
F 0.174 0.789 0.315 (multiplicity 2)
F 0.297 0.260 0.501 (multiplicity 2)
F 0.419 0.273 0.001 (multiplicity 2)

Values from the calculation:
N(E_F) ... 0.0 states/eV/cell
Electronic total energy ... -4.30 eV/atom